PBE SmCu2Ge, relaxed; V = 73.2 Å³ per cell; theoretical density = 7.9 g cm⁻³; spin magnetization = 0.00 μB/f.u.; formation energy from the elements = -0.336 eV per atom; E_tot = -0.347 Ry per atom
1.0
2.092 1.208 4.829
-2.092 1.208 4.829
0.000 -2.415 4.829
Sm Cu Ge
1 2 1
Direct
0.000 0.000 0.000
0.207 0.207 0.207
0.793 0.793 0.793
0.500 0.500 0.500

---

PBE La2SiAs, relaxed; V = 120.2 Å³ per cell; raw formation energy = -0.848 eV per atom; theoretical density = 5.3 g cm⁻³; spin magnetization = 0.00 μB/f.u.; energy relative to the lowest polymorph listed for this composition = 286.5 meV/atom; E_tot = -0.428 Ry per atom
1.0
2.104 1.215 7.837
-2.104 1.215 7.837
0.000 -2.430 7.837
La Si As
2 1 1
Direct
0.000 0.000 0.000
0.176 0.176 0.176
0.755 0.755 0.755
0.587 0.587 0.587

---

PBE LiBeVS2, relaxed; V = 69.4 Å³ per cell; raw formation energy = 0.648 eV per atom; theoretical density = 3.1 g cm⁻³; spin magnetization = 0.08 μB/f.u.; E_tot = -0.291 Ry per atom
1.0
4.337 0.000 0.000
0.000 4.337 0.000
0.000 0.000 3.689
Li Be V S
1 1 1 2
Direct
0.000 0.000 0.000
0.000 0.000 0.500
0.500 0.500 0.500
0.000 0.500 0.000
0.500 0.000 0.000

---

PBE Y2Ge3IrPt4, relaxed; V = 185.8 Å³ per cell; theoretical density = 12.2 g cm⁻³; spin magnetization = 0.00 μB/f.u.; formation energy from the elements = -0.750 eV per atom; E_tot = -0.495 Ry per atom
1.0
4.013 0.000 0.000
0.000 4.013 0.000
0.000 0.000 11.533
Y Ge Ir Pt
2 3 1 4
Direct
0.000 0.500 0.243
0.500 0.000 0.757
0.000 0.000 0.000
0.000 0.500 0.634
0.500 0.000 0.366
0.500 0.500 0.000
0.000 0.000 0.500
0.000 0.500 0.842
0.500 0.000 0.158
0.500 0.500 0.500

---

Please write out number 1 again, unchanged.
PBE SmCu2Ge, relaxed; V = 73.2 Å³ per cell; theoretical density = 7.9 g cm⁻³; spin magnetization = 0.00 μB/f.u.; formation energy from the elements = -0.336 eV per atom; E_tot = -0.347 Ry per atom
1.0
2.092 1.208 4.829
-2.092 1.208 4.829
0.000 -2.415 4.829
Sm Cu Ge
1 2 1
Direct
0.000 0.000 0.000
0.207 0.207 0.207
0.793 0.793 0.793
0.500 0.500 0.500

---

What is the E_tot in the first record? -0.347 Ry per atom